(1)
Compound: SrAc2Se3
Source: the Alexandria database
Functional: PBE-GGA
Structure: optimized geometry

a = 4.4178 Å, b = 6.2949 Å, c = 13.5001 Å
α = 90.00°, β = 90.00°, γ = 90.00°
Atoms (fractional coordinates):
1 Sr 0.0000 0.0000 0.0000
2 Sr 0.5000 0.5000 0.5000
3 Ac 0.0000 0.0000 0.3330
4 Ac 0.0000 0.0000 0.6670
5 Ac 0.5000 0.5000 0.1670
6 Ac 0.5000 0.5000 0.8330
7 Se 0.0000 0.5000 0.0000
8 Se 0.0000 0.5000 0.3371
9 Se 0.0000 0.5000 0.6629
10 Se 0.5000 0.0000 0.1629
11 Se 0.5000 0.0000 0.5000
12 Se 0.5000 0.0000 0.8371

Results
The theoretical density comes out at 6.9 g cm⁻³. As for the uncorrected formation energy: -1.91 eV/atom. The calculation puts the total energy at -63.679 eV/cell.


(2)
Compound: Sr2AcSe4
Source: the Alexandria database
Functional: PBE-GGA
Structure: optimized geometry

a = 7.8616 Å, b = 7.8616 Å, c = 13.5699 Å
α = 90.00°, β = 90.00°, γ = 147.13°
Atoms (fractional coordinates):
1 Sr 0.1287 0.8713 0.5646
2 Sr 0.1287 0.8713 0.9354
3 Sr 0.8713 0.1287 0.0646
4 Sr 0.8713 0.1287 0.4354
5 Ac 0.3940 0.6060 0.7500
6 Ac 0.6060 0.3940 0.2500
7 Se 0.0276 0.9724 0.7500
8 Se 0.2291 0.7709 0.1374
9 Se 0.2291 0.7709 0.3626
10 Se 0.5000 0.5000 0.0000
11 Se 0.5000 0.5000 0.5000
12 Se 0.7709 0.2291 0.6374
13 Se 0.7709 0.2291 0.8626
14 Se 0.9724 0.0276 0.2500

Results
The theoretical density comes out at 5.2 g cm⁻³. As for the uncorrected formation energy: -1.76 eV/atom. The calculation puts the total energy at -67.463 eV/cell.